Entry 1:
K4Hg2Au: relaxed, GGA-PBE.

a = 9.571 Å, b = 9.571 Å, c = 9.571 Å
α = 140.95°, β = 140.95°, γ = 56.42°
Fractional positions:
K  0.000  0.500  0.500
K  0.195  0.195  0.000
K  0.500  0.000  0.500
K  0.805  0.805  0.000
Hg  0.403  0.403  0.000
Hg  0.597  0.597  0.000
Au  0.000  0.000  0.000

magnetization: 0.00 μB per cell
crystal system: tetragonal
total DFT energy (no corrections): -1.33 eV/atom
energy of formation from the pure elements: -149.3 meV per atom

---

Entry 2:
K2HgAu: relaxed, GGA-PBE.

a = 7.415 Å, b = 7.415 Å, c = 7.415 Å
α = 102.87°, β = 102.87°, γ = 123.69°
Fractional positions:
K  0.099  0.625  0.974
K  0.375  0.349  0.474
K  0.651  0.125  0.026
K  0.875  0.901  0.526
Hg  0.250  0.750  0.500
Hg  0.500  0.500  0.000
Au  0.000  0.000  0.000
Au  0.750  0.250  0.500

magnetization: 0.00 μB per cell
crystal system: tetragonal
total DFT energy (no corrections): -1.59 eV/atom
energy of formation from the pure elements: -146.5 meV per atom

---

Entry 3:
K2HgAu: relaxed, GGA-PBE.

a = 7.804 Å, b = 7.804 Å, c = 7.804 Å
α = 38.76°, β = 38.76°, γ = 38.76°
Fractional positions:
K  0.000  0.000  0.000
K  0.193  0.193  0.193
Hg  0.442  0.442  0.442
Au  0.585  0.585  0.585

magnetization: 0.00 μB per cell
crystal system: trigonal
total DFT energy (no corrections): -1.65 eV/atom
energy of formation from the pure elements: -209.6 meV per atom